(1)
Here is crystalline Ag2GeS2 at its relaxed geometry from Alexandria. Energies are from PBE.

Cell lengths 3.817, 3.817, 7.356 Å; angles 74.96, 74.96, 90.00 degrees
Atoms (fractional coordinates):
Ge 0.000 0.000 0.000
S 0.391 0.391 0.218
S 0.609 0.609 0.782
Ag 0.750 0.250 0.500
Ag 0.250 0.750 0.500

space-group type = No. 139
uncorrected energy = -3.5197 eV per atom
uncorrected formation energy = 195 meV per atom

---

(2)
Here is crystalline AgGe2S4 at its relaxed geometry from Alexandria. Energies are from PBE.

Cell lengths 5.381, 5.381, 5.873 Å; angles 90.00, 90.00, 90.00 degrees
Atoms (fractional coordinates):
Ag 0.000 0.000 0.000
Ge 0.500 0.000 0.500
Ge 0.000 0.500 0.500
S 0.737 0.263 0.730
S 0.263 0.263 0.270
S 0.263 0.737 0.730
S 0.737 0.737 0.270

space-group type = No. 111
uncorrected energy = -4.2511 eV per atom
uncorrected formation energy = -166 meV per atom

---

(3)
Here is crystalline Ag7GeS6 at its relaxed geometry from Alexandria. Energies are from PBE.

Cell lengths 6.406, 10.371, 10.371 Å; angles 82.20, 72.01, 72.01 degrees
Atoms (fractional coordinates):
Ag 0.725 0.030 0.970
Ag 0.275 0.970 0.030
Ag 0.775 0.530 0.470
Ag 0.225 0.470 0.530
Ag 0.543 0.618 0.174
Ag 0.665 0.174 0.618
Ag 0.957 0.326 0.882
Ag 0.835 0.882 0.326
Ag 0.457 0.382 0.826
Ag 0.335 0.826 0.382
Ag 0.043 0.674 0.118
Ag 0.165 0.118 0.674
Ag 0.250 0.250 0.250
Ag 0.750 0.750 0.750
Ge 0.750 0.250 0.250
Ge 0.250 0.750 0.750
S 0.627 0.263 0.065
S 0.045 0.065 0.263
S 0.873 0.435 0.237
S 0.455 0.237 0.435
S 0.373 0.737 0.935
S 0.955 0.935 0.737
S 0.127 0.565 0.763
S 0.545 0.763 0.565
S 0.145 0.653 0.347
S 0.855 0.347 0.653
S 0.355 0.153 0.847
S 0.645 0.847 0.153

space-group type = No. 72
uncorrected energy = -3.5411 eV per atom
uncorrected formation energy = -17 meV per atom

---

(4)
Here is crystalline AgGe2S2 at its relaxed geometry from Alexandria. Energies are from PBE.

Cell lengths 7.580, 7.580, 3.630 Å; angles 90.00, 90.00, 90.00 degrees
Atoms (fractional coordinates):
Ge 0.347 0.847 0.000
Ge 0.847 0.653 0.000
Ge 0.653 0.153 0.000
Ge 0.153 0.347 0.000
S 0.198 0.698 0.500
S 0.698 0.802 0.500
S 0.802 0.302 0.500
S 0.302 0.198 0.500
Ag 0.000 0.000 0.000
Ag 0.500 0.500 0.000

space-group type = No. 127
uncorrected energy = -3.9375 eV per atom
uncorrected formation energy = 131 meV per atom

---

(5)
Here is crystalline Ag3GeS3 at its relaxed geometry from Alexandria. Energies are from PBE.

Cell lengths 5.592, 7.950, 7.949 Å; angles 119.92, 90.00, 90.00 degrees
Atoms (fractional coordinates):
Ag 0.250 0.576 0.788
Ag 0.250 0.212 0.424
Ag 0.250 0.212 0.788
Ag 0.750 0.424 0.212
Ag 0.750 0.788 0.576
Ag 0.750 0.788 0.212
Ge 0.750 0.333 0.667
Ge 0.250 0.667 0.333
S 0.750 0.647 0.824
S 0.750 0.176 0.353
S 0.750 0.176 0.825
S 0.250 0.353 0.176
S 0.250 0.824 0.647
S 0.250 0.824 0.175

space-group type = No. 63
uncorrected energy = -3.6211 eV per atom
uncorrected formation energy = 29 meV per atom

---

(6)
Here is crystalline Ag3GeS at its relaxed geometry from Alexandria. Energies are from PBE.

Cell lengths 4.849, 4.849, 4.849 Å; angles 90.00, 90.00, 90.00 degrees
Atoms (fractional coordinates):
Ge 0.500 0.500 0.500
S 0.000 0.000 0.000
Ag 0.000 0.500 0.000
Ag 0.000 0.000 0.500
Ag 0.500 0.000 0.000

space-group type = No. 221
uncorrected energy = -2.9608 eV per atom
uncorrected formation energy = 499 meV per atom

---

(7)
Here is crystalline ScAg2GeS at its relaxed geometry from Alexandria. Energies are from PBE.

Cell lengths 4.745, 4.865, 4.745 Å; angles 90.00, 90.00, 90.00 degrees
Atoms (fractional coordinates):
Sc 0.000 0.500 0.000
Ge 0.500 0.500 0.500
S 0.000 0.000 0.000
Ag 0.000 0.000 0.500
Ag 0.500 0.000 0.000

space-group type = No. 123
uncorrected energy = -4.1965 eV per atom
uncorrected formation energy = -41 meV per atom

---

(8)
Here is crystalline Sc3Ag3GeS8 at its relaxed geometry from Alexandria. Energies are from PBE.

Cell lengths 7.456, 7.459, 7.652 Å; angles 118.61, 90.00, 119.99 degrees
Atoms (fractional coordinates):
Sc 0.500 0.000 0.500
Sc 0.500 0.500 0.500
Sc 0.000 0.500 0.500
Ag 0.000 0.000 0.000
Ag 0.000 0.500 0.000
Ag 0.500 0.500 0.000
Ge 0.000 0.000 0.500
S 0.262 0.524 0.281
S 0.738 0.476 0.719
S 0.770 0.541 0.281
S 0.230 0.459 0.719
S 0.771 0.014 0.281
S 0.229 0.986 0.719
S 0.243 0.014 0.281
S 0.757 0.986 0.719

space-group type = No. 12
uncorrected energy = -5.3087 eV per atom
uncorrected formation energy = -963 meV per atom